Record 1
First-principles (GGA-PBE) data for LiPa2Co4As3 after structural relaxation, as listed in the Alexandria database.

abc: 3.8346 3.8346 10.4089
angles: 90.00 90.00 90.00
Last column: nearest neighbours and their distance in Å.
Positions (direct):
Li  0.5000  0.5000  0.5000  4 Co 2.49, 4 As 2.71
Pa  0.5000  0.0000  0.2536  4 Co 2.88, 6 As 3.02-3.20, 2 Li 3.20
Pa  0.0000  0.5000  0.7464  4 Co 2.88, 6 As 3.02-3.20, 2 Li 3.20
Co  0.5000  0.5000  0.0000  4 As 2.32
Co  0.0000  0.0000  0.0000  4 As 2.32
Co  0.5000  0.0000  0.6533  3 As 2.30-2.49, 2 Li 2.49
Co  0.0000  0.5000  0.3467  3 As 2.30-2.49, 2 Li 2.49
As  0.0000  0.0000  0.5000  4 Co 2.49, 4 Li 2.71
As  0.5000  0.0000  0.8746  5 Co 2.30-2.32
As  0.0000  0.5000  0.1254  5 Co 2.30-2.32

Summary:
Electronic total energy ... -69.60 eV/cell
Energy of formation from the pure elements ... -0.632 eV/atom
Total magnetization ... 0.79 μB per cell

Record 2
First-principles (GGA-PBE) data for LiCoAsPb2 after structural relaxation, as listed in the Alexandria database.

abc: 5.2673 4.4543 5.2673
angles: 90.00 90.00 90.00
Last column: nearest neighbours and their distance in Å.
Positions (direct):
Pb  0.0000  0.0000  0.5000  2 Co 2.63
Pb  0.5000  0.0000  0.0000  2 Co 2.63
As  0.0000  0.5000  0.0000  2 Co 2.23
Co  0.0000  0.0000  0.0000  2 As 2.23
Li  0.5000  0.5000  0.5000  8 Pb 3.45, 4 As 3.72

Summary:
Electronic total energy ... -20.39 eV/cell
Energy of formation from the pure elements ... 0.140 eV/atom
Total magnetization ... 0.52 μB per cell

Record 3
First-principles (GGA-PBE) data for Li3Co2As4Pd2 after structural relaxation, as listed in the Alexandria database.

abc: 4.1888 4.1888 11.3253
angles: 90.00 90.00 120.00
Last column: nearest neighbours and their distance in Å.
Positions (direct):
Li  0.0000  0.0000  0.7280  6 As 2.70-3.02, 3 Pd 2.88, 3 Co 2.94
Li  0.0000  0.0000  0.0000  6 As 2.73, 6 Pd 2.85
Li  0.0000  0.0000  0.2720  6 As 2.70-3.02, 3 Pd 2.88, 3 Co 2.94
Co  0.6667  0.3333  0.4204  4 As 2.28-2.46
Co  0.3333  0.6667  0.5796  4 As 2.28-2.46
As  0.6667  0.3333  0.1121  3 Pd 2.43
As  0.3333  0.6667  0.8879  3 Pd 2.43
As  0.6667  0.3333  0.6213  4 Co 2.28-2.46
As  0.3333  0.6667  0.3787  4 Co 2.28-2.46
Pd  0.6667  0.3333  0.8668  3 As 2.43
Pd  0.3333  0.6667  0.1332  3 As 2.43

Summary:
Electronic total energy ... -52.62 eV/cell
Energy of formation from the pure elements ... -0.335 eV/atom
Total magnetization ... 0.53 μB per cell